Entry 1:
A plane-wave DFT calculation with PBE was carried out for crystalline Cs3ErTm2Se6 at its relaxed geometry.

final energy = -57.5 eV per cell
DOS(E_F) = 0.000 states/eV per atom
formation energy from raw total energies = -1713 meV/atom
SG = C2/m

Cell: 7.315 7.315 8.709 Å, 98.05 98.05 120.00°
Element x y z (fractional)
Cs 0.000 0.000 0.000
Cs 0.333 0.667 0.000
Cs 0.667 0.333 0.000
Er 0.500 0.500 0.500
Tm 0.167 0.833 0.500
Tm 0.833 0.167 0.500
Se 0.104 0.439 0.316
Se 0.227 0.227 0.684
Se 0.439 0.104 0.316
Se 0.561 0.896 0.684
Se 0.773 0.773 0.316
Se 0.896 0.561 0.684


Entry 2:
A plane-wave DFT calculation with PBE was carried out for crystalline Ac3Bi4Au4 at its relaxed geometry.

final energy = -47.6 eV per cell
DOS(E_F) = 0.397 states/eV per atom
SG = P-1
energy of formation = -0.606 eV/atom

Cell: 4.734 4.802 15.133 Å, 80.92 82.79 89.95°
Element x y z (fractional)
Ac 0.000 0.000 0.000
Ac 0.173 0.641 0.716
Ac 0.827 0.359 0.284
Bi 0.247 0.250 0.499
Bi 0.361 0.907 0.191
Bi 0.639 0.093 0.809
Bi 0.753 0.750 0.501
Au 0.310 0.810 0.377
Au 0.416 0.542 0.913
Au 0.584 0.458 0.087
Au 0.690 0.190 0.623


Entry 3:
A plane-wave DFT calculation with PBE was carried out for crystalline CrNiIr2 at its relaxed geometry.

final energy = -66.9 eV per cell
DOS(E_F) = 1.097 states/eV per atom
SG = P2_1/m
energy of formation = -0.087 eV/atom

Cell: 5.029 4.021 5.324 Å, 90.00 104.82 90.00°
Element x y z (fractional)
Cr 0.128 0.250 0.279
Cr 0.872 0.750 0.721
Ni 0.144 0.250 0.781
Ni 0.856 0.750 0.219
Ir 0.324 0.750 0.084
Ir 0.348 0.750 0.581
Ir 0.652 0.250 0.419
Ir 0.676 0.250 0.916


Entry 4:
A plane-wave DFT calculation with PBE was carried out for crystalline CrSi3S at its relaxed geometry.

final energy = -25.1 eV per cell
DOS(E_F) = 0.523 states/eV per atom
formation energy from raw total energies = 983 meV/atom
SG = Pm-3m
energy above the lowest structure with this stoichiometry = 430 meV per atom

Cell: 4.506 4.506 4.506 Å, 90.00 90.00 90.00°
Element x y z (fractional)
Cr 0.000 0.000 0.000
Si 0.000 0.500 0.500
Si 0.500 0.000 0.500
Si 0.500 0.500 0.000
S 0.500 0.500 0.500


Entry 5:
A plane-wave DFT calculation with PBE was carried out for crystalline Sn3GeRh at its relaxed geometry.

final energy = -19.4 eV per cell
DOS(E_F) = 0.824 states/eV per atom
SG = Pm-3m
energy of formation = 0.919 eV/atom
energy above the lowest structure with this stoichiometry = 745 meV per atom

Cell: 5.187 5.187 5.187 Å, 90.00 90.00 90.00°
Element x y z (fractional)
Sn 0.000 0.000 0.500
Sn 0.000 0.500 0.000
Sn 0.500 0.000 0.000
Ge 0.000 0.000 0.000
Rh 0.500 0.500 0.500


Entry 6:
A plane-wave DFT calculation with PBE was carried out for crystalline MgRe2Se at its relaxed geometry.

final energy = -28.1 eV per cell
DOS(E_F) = 0.659 states/eV per atom
formation energy from raw total energies = 477 meV/atom
SG = P2/m
energy above the lowest structure with this stoichiometry = 383 meV per atom

Cell: 3.276 4.977 4.360 Å, 90.00 93.94 90.00°
Element x y z (fractional)
Mg 0.000 0.000 0.000
Re 0.298 0.500 0.214
Re 0.702 0.500 0.786
Se 0.500 0.000 0.500


Entry 7:
A plane-wave DFT calculation with PBE was carried out for crystalline La2RePb2 at its relaxed geometry.

final energy = -48.9 eV per cell
DOS(E_F) = 1.451 states/eV per atom
SG = I4/mmm
energy of formation = 1.058 eV/atom
energy above the lowest structure with this stoichiometry = 968 meV per atom

Cell: 4.132 4.132 16.038 Å, 90.00 90.00 90.00°
Element x y z (fractional)
La 0.000 0.500 0.250
La 0.000 0.500 0.750
La 0.500 0.000 0.250
La 0.500 0.000 0.750
Re 0.000 0.000 0.000
Re 0.500 0.500 0.500
Pb 0.000 0.000 0.412
Pb 0.000 0.000 0.588
Pb 0.500 0.500 0.088
Pb 0.500 0.500 0.912


Entry 8:
A plane-wave DFT calculation with PBE was carried out for crystalline Tb6MgAg at its relaxed geometry.

final energy = -32.0 eV per cell
DOS(E_F) = 1.096 states/eV per atom
SG = R-3
energy of formation = 0.024 eV/atom

Cell: 6.167 6.167 6.167 Å, 93.64 93.64 93.64°
Element x y z (fractional)
Tb 0.027 0.755 0.551
Tb 0.245 0.449 0.973
Tb 0.449 0.973 0.245
Tb 0.551 0.027 0.755
Tb 0.755 0.551 0.027
Tb 0.973 0.245 0.449
Mg 0.500 0.500 0.500
Ag 0.000 0.000 0.000